BeCuAsW | PBE | optimized geometry

Lattice parameters (Å, degrees): 4.220 4.220 4.220 60.00 60.00 60.00
Atoms (fractional coordinates):
Be: 0.000 0.000 0.000
Cu: 0.750 0.750 0.750
As: 0.500 0.500 0.500
W: 0.250 0.250 0.250

Output
**SG**: F-43m, No. 216
**Crystal system**: cubic
**Energy above the most stable polymorph in this dataset**: 0.0 meV/atom

=====

YBeCuAs | PBE | optimized geometry

Lattice parameters (Å, degrees): 4.590 4.590 4.590 60.00 60.00 60.00
Atoms (fractional coordinates):
Y: 0.000 0.000 0.000
Be: 0.750 0.750 0.750
Cu: 0.500 0.500 0.500
As: 0.250 0.250 0.250

Output
**SG**: F-43m, No. 216
**Crystal system**: cubic
**Energy above the most stable polymorph in this dataset**: 0.0 meV/atom

=====

BeZnCuAs | PBE | optimized geometry

Lattice parameters (Å, degrees): 4.291 4.291 4.291 60.00 60.00 60.00
Atoms (fractional coordinates):
Be: 0.000 0.000 0.000
Zn: 0.250 0.250 0.250
Cu: 0.500 0.500 0.500
As: 0.750 0.750 0.750

Output
**SG**: F-43m, No. 216
**Crystal system**: cubic
**Energy above the most stable polymorph in this dataset**: 0.0 meV/atom

=====

BeZnCu4As2 | PBE | optimized geometry

Lattice parameters (Å, degrees): 4.022 4.022 6.561 90.00 90.00 90.00
Atoms (fractional coordinates):
Be: 0.000 0.000 0.000
Zn: 0.500 0.500 0.500
Cu: 0.000 0.500 0.233
Cu: 0.000 0.500 0.767
Cu: 0.500 0.000 0.233
Cu: 0.500 0.000 0.767
As: 0.000 0.000 0.500
As: 0.500 0.500 0.000

Output
**SG**: P4/mmm, No. 123
**Crystal system**: tetragonal
**Energy above the most stable polymorph in this dataset**: 4.7 meV/atom

=====

BeZnCu4As2 | PBE | optimized geometry

Lattice parameters (Å, degrees): 3.992 3.992 6.613 90.00 90.00 90.00
Atoms (fractional coordinates):
Be: 0.000 0.000 0.000
Zn: 0.500 0.500 0.500
Cu: 0.000 0.500 0.234
Cu: 0.000 0.500 0.766
Cu: 0.500 0.000 0.234
Cu: 0.500 0.000 0.766
As: 0.000 0.000 0.500
As: 0.500 0.500 0.000

Output
**SG**: P4/mmm, No. 123
**Crystal system**: tetragonal
**Energy above the most stable polymorph in this dataset**: 0.0 meV/atom

=====

ZrBeCuAs | PBE | optimized geometry

Lattice parameters (Å, degrees): 4.422 4.422 4.422 60.00 60.00 60.00
Atoms (fractional coordinates):
Zr: 0.000 0.000 0.000
Be: 0.750 0.750 0.750
Cu: 0.500 0.500 0.500
As: 0.250 0.250 0.250

Output
**SG**: F-43m, No. 216
**Crystal system**: cubic
**Energy above the most stable polymorph in this dataset**: 0.0 meV/atom

=====

ZrBeCuAs | PBE | optimized geometry

Lattice parameters (Å, degrees): 4.441 4.441 4.441 60.00 60.00 60.00
Atoms (fractional coordinates):
Zr: 0.000 0.000 0.000
Be: 0.250 0.250 0.250
Cu: 0.750 0.750 0.750
As: 0.500 0.500 0.500

Output
**SG**: F-43m, No. 216
**Crystal system**: cubic
**Energy above the most stable polymorph in this dataset**: 136.6 meV/atom

=====

DyBeAsO | PBE | optimized geometry

Lattice parameters (Å, degrees): 3.830 3.830 9.635 90.00 90.00 90.00
Atoms (fractional coordinates):
Dy: 0.250 0.750 0.000
Dy: 0.750 0.250 0.000
Be: 0.250 0.250 0.491
Be: 0.750 0.750 0.509
As: 0.250 0.250 0.217
As: 0.750 0.750 0.783
O: 0.250 0.750 0.500
O: 0.750 0.250 0.500

Output
**SG**: P4/nmm, No. 129
**Crystal system**: tetragonal
**Energy above the most stable polymorph in this dataset**: 1385.4 meV/atom

=====

DyBeAsO | PBE | optimized geometry

Lattice parameters (Å, degrees): 3.080 5.420 7.008 90.00 90.00 90.00
Atoms (fractional coordinates):
Dy: 0.000 0.157 0.000
Dy: 0.000 0.843 0.500
Be: 0.500 0.299 0.352
Be: 0.500 0.701 0.852
As: 0.500 0.346 0.672
As: 0.500 0.654 0.172
O: 0.000 0.178 0.315
O: 0.000 0.822 0.815

Output
**SG**: Pmc2_1, No. 26
**Crystal system**: orthorhombic
**Energy above the most stable polymorph in this dataset**: 296.8 meV/atom

=====

DyBeAsO | PBE | optimized geometry

Lattice parameters (Å, degrees): 3.811 3.811 8.574 90.00 90.00 90.00
Atoms (fractional coordinates):
Dy: 0.250 0.250 0.134
Dy: 0.750 0.750 0.866
Be: 0.250 0.750 0.500
Be: 0.750 0.250 0.500
As: 0.250 0.250 0.658
As: 0.750 0.750 0.342
O: 0.250 0.750 0.000
O: 0.750 0.250 0.000

Output
**SG**: P4/nmm, No. 129
**Crystal system**: tetragonal
**Energy above the most stable polymorph in this dataset**: 0.0 meV/atom

=====

DyBeAsO | PBE | optimized geometry

Lattice parameters (Å, degrees): 4.170 5.972 5.546 90.00 90.00 90.00
Atoms (fractional coordinates):
Dy: 0.000 0.248 0.000
Dy: 0.000 0.752 0.500
Be: 0.500 0.105 0.636
Be: 0.500 0.895 0.136
As: 0.000 0.270 0.508
As: 0.000 0.730 0.008
O: 0.500 0.113 0.946
O: 0.500 0.887 0.446

Output
**SG**: Pmc2_1, No. 26
**Crystal system**: orthorhombic
**Energy above the most stable polymorph in this dataset**: 43.2 meV/atom

=====

BeFeHgAs | PBE | optimized geometry

Lattice parameters (Å, degrees): 4.482 4.482 4.482 60.00 60.00 60.00
Atoms (fractional coordinates):
Be: 0.000 0.000 0.000
Fe: 0.750 0.750 0.750
Hg: 0.250 0.250 0.250
As: 0.500 0.500 0.500

Output
**SG**: F-43m, No. 216
**Crystal system**: cubic
**Energy above the most stable polymorph in this dataset**: 126.5 meV/atom